1.
A geometry-optimized SrTa2Sb structure. Source: Alexandria via LeMat-Bulk, functional GGA-PBE.

- Total magnetization: 0.0000 μB per atom
- Raw formation energy: 570 meV per atom
- Density: 10.0 g/cm³
- Symmetry: P2/m (10)
- Calculated volume: 95 Å³/cell

POSCAR file:
```
SrTa2Sb
1.0
3.160 0.000 0.000
0.000 5.515 0.000
-0.172 0.000 5.428
Sr Ta Sb
1 2 1
direct
0.000 0.000 0.000
0.382 0.500 0.753
0.618 0.500 0.247
0.500 0.000 0.500
```

***

2.
A geometry-optimized SrTaSb2 structure. Source: Alexandria via LeMat-Bulk, functional GGA-PBE.

- Total magnetization: 0.0652 μB per atom
- Raw formation energy: -306 meV per atom
- Density: 7.5 g/cm³
- Symmetry: R-3m (166)
- Energy above the lowest structure with this stoichiometry: 0.0 meV/atom
- Calculated volume: 113 Å³/cell

POSCAR file:
```
SrTaSb2
1.0
2.055 1.186 7.734
-2.055 1.186 7.734
0.000 -2.373 7.734
Sr Ta Sb
1 1 2
direct
0.000 0.000 0.000
0.500 0.500 0.500
0.236 0.236 0.236
0.764 0.764 0.764
```

***

3.
A geometry-optimized SrTa2Sb structure. Source: Alexandria via LeMat-Bulk, functional GGA-PBE.

- Total magnetization: 0.0000 μB per atom
- Raw formation energy: 459 meV per atom
- Density: 9.5 g/cm³
- Symmetry: P4/mmm (123)
- Calculated volume: 99 Å³/cell

POSCAR file:
```
SrTa2Sb
1.0
3.712 0.000 0.000
0.000 3.712 0.000
0.000 0.000 7.220
Sr Ta Sb
1 2 1
direct
0.000 0.000 0.000
0.500 0.500 0.326
0.500 0.500 0.674
0.000 0.000 0.500
```

***

4.
A geometry-optimized SrTaSb2 structure. Source: Alexandria via LeMat-Bulk, functional GGA-PBE.

- Total magnetization: 0.0010 μB per atom
- Raw formation energy: 162 meV per atom
- Density: 8.4 g/cm³
- Symmetry: Cmmm (65)
- Energy above the lowest structure with this stoichiometry: 467.8 meV/atom
- Calculated volume: 101 Å³/cell

POSCAR file:
```
SrTaSb2
1.0
3.346 -3.983 0.000
3.346 3.983 0.000
0.000 0.000 3.787
Sr Ta Sb
1 1 2
direct
0.000 0.000 0.000
0.500 0.500 0.000
0.000 0.500 0.500
0.500 0.000 0.500
```

***

5.
A geometry-optimized SrTaSb2 structure. Source: Alexandria via LeMat-Bulk, functional GGA-PBE.

- Total magnetization: 0.0138 μB per atom
- Raw formation energy: 267 meV per atom
- Density: 7.5 g/cm³
- Symmetry: P4mm (99)
- Energy above the lowest structure with this stoichiometry: 573.3 meV/atom
- Calculated volume: 113 Å³/cell

POSCAR file:
```
SrTaSb2
1.0
3.146 0.000 0.000
0.000 3.146 0.000
0.000 0.000 11.470
Sr Ta Sb
1 1 2
direct
0.000 0.000 0.000
0.500 0.500 0.244
0.000 0.000 0.427
0.500 0.500 0.766
```

***

6.
A geometry-optimized SrTa2Sb structure. Source: Alexandria via LeMat-Bulk, functional GGA-PBE.

- Total magnetization: 0.0000 μB per atom
- Raw formation energy: 275 meV per atom
- Density: 9.9 g/cm³
- Symmetry: Cmm2 (35)
- Calculated volume: 96 Å³/cell

POSCAR file:
```
SrTa2Sb
1.0
1.992 -2.558 0.000
1.992 2.558 0.000
0.000 0.000 9.414
Sr Ta Sb
1 2 1
direct
0.000 0.000 0.000
0.000 0.000 0.490
0.500 0.500 0.290
0.500 0.500 0.706
```

***

7.
A geometry-optimized SrTa2Sb structure. Source: Alexandria via LeMat-Bulk, functional GGA-PBE.

- Total magnetization: 0.0000 μB per atom
- Raw formation energy: 626 meV per atom
- Density: 10.3 g/cm³
- Symmetry: P4/mmm (123)
- Calculated volume: 92 Å³/cell

POSCAR file:
```
SrTa2Sb
1.0
4.300 0.000 0.000
0.000 4.300 0.000
0.000 0.000 4.976
Sr Ta Sb
1 2 1
direct
0.000 0.000 0.000
0.000 0.500 0.500
0.500 0.000 0.500
0.500 0.500 0.000
```

***

8.
A geometry-optimized SrTaSb2 structure. Source: Alexandria via LeMat-Bulk, functional GGA-PBE.

- Total magnetization: 0.0000 μB per atom
- Raw formation energy: 123 meV per atom
- Density: 8.3 g/cm³
- Symmetry: Amm2 (38)
- Energy above the lowest structure with this stoichiometry: 429.3 meV/atom
- Calculated volume: 102 Å³/cell

POSCAR file:
```
SrTaSb2
1.0
5.349 0.000 0.000
0.000 1.699 5.631
0.000 -1.699 5.631
Sr Ta Sb
1 1 2
direct
0.000 0.000 0.000
0.500 0.275 0.275
0.000 0.736 0.736
0.500 0.544 0.544
```

***

9.
A geometry-optimized SrTaSb2 structure. Source: Alexandria via LeMat-Bulk, functional GGA-PBE.

- Total magnetization: 0.1888 μB per atom
- Raw formation energy: 224 meV per atom
- Density: 8.3 g/cm³
- Symmetry: I-4m2 (119)
- Energy above the lowest structure with this stoichiometry: 530.1 meV/atom
- Calculated volume: 102 Å³/cell

POSCAR file:
```
SrTaSb2
1.0
-2.204 2.204 5.262
2.204 -2.204 5.262
2.204 2.204 -5.262
Sr Ta Sb
1 1 2
direct
0.000 0.000 0.000
0.250 0.750 0.500
0.500 0.500 0.000
0.750 0.250 0.500
```

***

10.
A geometry-optimized SrTa2Sb structure. Source: Alexandria via LeMat-Bulk, functional GGA-PBE.

- Total magnetization: 0.0000 μB per atom
- Raw formation energy: 598 meV per atom
- Density: 10.5 g/cm³
- Symmetry: F-43m (216)
- Calculated volume: 90 Å³/cell

POSCAR file:
```
SrTa2Sb
1.0
0.000 3.557 3.557
3.557 0.000 3.557
3.557 3.557 0.000
Sr Ta Sb
1 2 1
direct
0.000 0.000 0.000
0.500 0.500 0.500
0.750 0.750 0.750
0.250 0.250 0.250
```

***

11.
A geometry-optimized SrTa2Sb structure. Source: Alexandria via LeMat-Bulk, functional GGA-PBE.

- Total magnetization: 0.0000 μB per atom
- Raw formation energy: 653 meV per atom
- Density: 10.4 g/cm³
- Symmetry: C2/m (12)
- Calculated volume: 92 Å³/cell

POSCAR file:
```
SrTa2Sb
1.0
3.107 -5.406 0.000
3.107 5.406 0.000
-1.429 0.000 2.728
Sr Ta Sb
1 2 1
direct
0.000 0.000 0.000
0.000 0.500 0.500
0.500 0.000 0.500
0.500 0.500 0.000
```

***

12.
A geometry-optimized SrTaSb2 structure. Source: Alexandria via LeMat-Bulk, functional GGA-PBE.

- Total magnetization: 0.0000 μB per atom
- Raw formation energy: 77 meV per atom
- Density: 7.7 g/cm³
- Symmetry: P4mm (99)
- Energy above the lowest structure with this stoichiometry: 382.6 meV/atom
- Calculated volume: 110 Å³/cell

POSCAR file:
```
SrTaSb2
1.0
4.309 0.000 0.000
0.000 4.309 0.000
0.000 0.000 5.933
Sr Ta Sb
1 1 2
direct
0.000 0.000 0.000
0.500 0.500 0.499
0.000 0.000 0.500
0.500 0.500 0.999
```

***

13.
A geometry-optimized SrTa2Sb structure. Source: Alexandria via LeMat-Bulk, functional GGA-PBE.

- Total magnetization: 0.1401 μB per atom
- Raw formation energy: 371 meV per atom
- Density: 9.6 g/cm³
- Symmetry: R3m (160)
- Calculated volume: 99 Å³/cell

POSCAR file:
```
SrTa2Sb
1.0
1.718 0.992 9.704
-1.718 0.992 9.704
0.000 -1.983 9.704
Sr Ta Sb
1 2 1
direct
0.000 0.000 0.000
0.235 0.235 0.235
0.502 0.502 0.502
0.763 0.763 0.763
```

***

14.
A geometry-optimized SrTa2Sb structure. Source: Alexandria via LeMat-Bulk, functional GGA-PBE.

- Total magnetization: 0.0002 μB per atom
- Raw formation energy: 319 meV per atom
- Density: 9.1 g/cm³
- Symmetry: Cm (8)
- Calculated volume: 104 Å³/cell

POSCAR file:
```
SrTa2Sb
1.0
4.532 -1.668 0.000
4.532 1.668 0.000
-1.001 0.000 6.907
Sr Ta Sb
1 2 1
direct
0.000 0.000 0.000
0.222 0.222 0.664
0.491 0.491 0.517
0.754 0.754 0.323
```

***

15.
A geometry-optimized SrTaSbTe2 structure. Source: Alexandria via LeMat-Bulk, functional GGA-PBE.

- Total magnetization: 0.0000 μB per atom
- Raw formation energy: -310 meV per atom
- Density: 6.5 g/cm³
- Symmetry: P4/mmm (123)
- Energy above the lowest structure with this stoichiometry: 0.0 meV/atom
- Calculated volume: 165 Å³/cell

POSCAR file:
```
SrTaSbTe2
1.0
5.533 0.000 0.000
0.000 5.533 0.000
0.000 0.000 5.388
Sr Ta Sb Te
1 1 1 2
direct
0.000 0.000 0.000
0.500 0.500 0.500
0.500 0.500 0.000
0.000 0.500 0.500
0.500 0.000 0.500
```

***

16.
A geometry-optimized SrTaSbTe2 structure. Source: Alexandria via LeMat-Bulk, functional GGA-PBE.

- Total magnetization: 0.0671 μB per atom
- Raw formation energy: 1500 meV per atom
- Density: 5.4 g/cm³
- Symmetry: P4/mmm (123)
- Energy above the lowest structure with this stoichiometry: 1810.8 meV/atom
- Calculated volume: 200 Å³/cell

POSCAR file:
```
SrTaSbTe2
1.0
5.870 0.000 0.000
0.000 5.870 0.000
0.000 0.000 5.809
Sr Ta Sb Te
1 1 1 2
direct
0.000 0.000 0.000
0.500 0.500 0.500
0.000 0.000 0.500
0.000 0.500 0.000
0.500 0.000 0.000
```

***

17.
A geometry-optimized SrTaSbW2 structure. Source: Alexandria via LeMat-Bulk, functional GGA-PBE.

- Total magnetization: 0.0000 μB per atom
- Raw formation energy: 1903 meV per atom
- Density: 9.6 g/cm³
- Symmetry: P4/mmm (123)
- Calculated volume: 130 Å³/cell

POSCAR file:
```
SrTaSbW2
1.0
5.040 0.000 0.000
0.000 5.040 0.000
0.000 0.000 5.136
Sr Ta Sb W
1 1 1 2
direct
0.000 0.000 0.000
0.500 0.500 0.000
0.500 0.500 0.500
0.000 0.500 0.500
0.500 0.000 0.500
```

***

18.
A geometry-optimized SrZrTa2Sb structure. Source: Alexandria via LeMat-Bulk, functional GGA-PBE.

- Total magnetization: 0.0000 μB per atom
- Raw formation energy: 2357 meV per atom
- Density: 8.7 g/cm³
- Symmetry: P4/mmm (123)
- Calculated volume: 126 Å³/cell

POSCAR file:
```
SrZrTa2Sb
1.0
4.956 0.000 0.000
0.000 4.956 0.000
0.000 0.000 5.144
Sr Zr Ta Sb
1 1 2 1
direct
0.000 0.000 0.000
0.000 0.000 0.500
0.000 0.500 0.000
0.500 0.000 0.000
0.500 0.500 0.500
```

***

19.
A geometry-optimized SrZr2TaSb structure. Source: Alexandria via LeMat-Bulk, functional GGA-PBE.

- Total magnetization: 0.0000 μB per atom
- Raw formation energy: 467 meV per atom
- Density: 6.3 g/cm³
- Symmetry: P4/mmm (123)
- Calculated volume: 150 Å³/cell

POSCAR file:
```
SrZr2TaSb
1.0
5.235 0.000 0.000
0.000 5.235 0.000
0.000 0.000 5.469
Sr Zr Ta Sb
1 2 1 1
direct
0.000 0.000 0.000
0.000 0.500 0.500
0.500 0.000 0.500
0.500 0.500 0.500
0.500 0.500 0.000
```

***

20.
A geometry-optimized Sr3TbTh2Sb6 structure. Source: Alexandria via LeMat-Bulk, functional GGA-PBE.

- Total magnetization: 0.0000 μB per atom
- Raw formation energy: -998 meV per atom
- Density: 6.4 g/cm³
- Symmetry: C2/m (12)
- Calculated volume: 420 Å³/cell

POSCAR file:
```
Sr3TbTh2Sb6
1.0
3.973 -6.884 0.000
3.973 6.884 0.000
-2.651 0.000 7.676
Sr Tb Th Sb
3 1 2 6
direct
0.000 0.000 0.000
0.332 0.668 0.000
0.668 0.332 0.000
0.500 0.500 0.500
0.166 0.834 0.500
0.834 0.166 0.500
0.093 0.424 0.271
0.246 0.246 0.730
0.424 0.093 0.271
0.576 0.907 0.729
0.754 0.754 0.270
0.907 0.576 0.729
```